Entry 1:
DFT (PBE) results for a geometry-optimized GdMg2Si structure.

Results
The value obtained for the formation energy (no corrections) is -0.29 eV per atom. The calculation puts the uncorrected energy at -5.97 eV per atom. As for the total magnetization: 7.073 μB per formula unit. The calculated density comes out at 4.47 g cm⁻³.

Cell: 4.2888 4.2888 4.7211 Å, 90.00 90.00 90.00°
Closest atoms and distances in Å follow each position.
Space group P4/mmm (No. 123)
One atom of each set of equivalent atoms:
Gd1 0.0000 0.0000 0.0000  4 Si 3.03, 8 Mg 3.19
Mg1 0.0000 0.5000 0.5000  4 Mg 3.03, 4 Gd 3.19, 4 Si 3.19
Si1 0.5000 0.5000 0.0000  4 Gd 3.03, 8 Mg 3.19


Entry 2:
DFT (PBE) results for a geometry-optimized TbGdMgSi structure.

Results
The value obtained for the formation energy (no corrections) is -0.29 eV per atom. The calculation puts the uncorrected energy at -6.73 eV per atom. As for the total magnetization: 7.365 μB per formula unit. The calculated density comes out at 6.47 g cm⁻³.

Cell: 7.2322 7.2322 7.2322 Å, 90.00 90.00 90.00°
Closest atoms and distances in Å follow each position.
Space group F-43m (No. 216)
One atom of each set of equivalent atoms:
Tb1 0.0000 0.0000 0.0000  4 Mg 3.13, 4 Si 3.13
Gd1 0.0000 0.0000 0.5000  4 Mg 3.13, 4 Si 3.13
Mg1 0.2500 0.2500 0.2500  4 Gd 3.13, 4 Tb 3.13
Si1 0.2500 0.2500 0.7500  4 Gd 3.13, 4 Tb 3.13


Entry 3:
DFT (PBE) results for a geometry-optimized GdMgZnSi structure.

Results
The value obtained for the formation energy (no corrections) is -0.28 eV per atom. The calculation puts the uncorrected energy at -5.87 eV per atom. As for the total magnetization: 7.079 μB per formula unit. The calculated density comes out at 5.68 g cm⁻³.

Cell: 6.8520 6.8520 6.8520 Å, 90.00 90.00 90.00°
Closest atoms and distances in Å follow each position.
Space group F-43m (No. 216)
One atom of each set of equivalent atoms:
Gd1 0.0000 0.0000 0.0000  4 Zn 2.97, 4 Si 2.97
Mg1 0.0000 0.0000 0.5000  4 Si 2.97, 4 Zn 2.97
Zn1 0.2500 0.2500 0.7500  4 Gd 2.97, 4 Mg 2.97
Si1 0.2500 0.2500 0.2500  4 Gd 2.97, 4 Mg 2.97


Entry 4:
DFT (PBE) results for a geometry-optimized SmGdMg2 structure.

Results
The calculation puts the uncorrected energy at -5.60 eV per atom. The formation energy comes out at -106 meV/atom. As for the total magnetization: 7.891 μB per formula unit. The calculated density comes out at 5.24 g cm⁻³. The relative energy among the computed polymorphs comes out at 0.0 kJ/mol of atoms.

Cell: 5.4151 5.4151 3.8500 Å, 90.00 90.00 90.00°
Closest atoms and distances in Å follow each position.
Space group P4/mmm (No. 123)
One atom of each set of equivalent atoms:
Sm1 0.0000 0.0000 0.0000  8 Mg 3.32
Gd1 0.5000 0.5000 0.0000  8 Mg 3.32
Mg1 0.0000 0.5000 0.5000  4 Gd 3.32, 4 Sm 3.32


Entry 5:
DFT (PBE) results for a geometry-optimized SmGdMg structure.

Results
The calculation puts the uncorrected energy at -6.86 eV per atom. The formation energy comes out at -59 meV/atom. As for the total magnetization: 7.621 μB per formula unit. The calculated density comes out at 6.12 g cm⁻³. The relative energy among the computed polymorphs comes out at 0.0 kJ/mol of atoms.

Cell: 3.7347 3.7347 12.9071 Å, 90.00 90.00 90.00°
Closest atoms and distances in Å follow each position.
Space group I4mm (No. 107)
One atom of each set of equivalent atoms:
Sm1 0.0000 0.0000 0.0000  4 Mg 3.34, 4 Gd 3.55, 4 Sm 3.73
Gd1 0.0000 0.0000 0.6836  4 Mg 3.33, 4 Sm 3.55
Mg1 0.0000 0.0000 0.3410  4 Gd 3.33, 4 Sm 3.34


Entry 6:
DFT (PBE) results for a geometry-optimized SmGdMg structure.

Results
The calculation puts the uncorrected energy at -6.77 eV per atom. The formation energy comes out at 29 meV/atom. As for the total magnetization: 7.393 μB per formula unit. The calculated density comes out at 6.16 g cm⁻³. The relative energy among the computed polymorphs comes out at 8.5 kJ/mol of atoms.

Cell: 5.4952 5.4952 3.4211 Å, 90.00 90.00 120.00°
Closest atoms and distances in Å follow each position.
Space group P3m1 (No. 156)
One atom of each set of equivalent atoms:
Sm1 0.0000 0.0000 0.0000  3 Mg 3.34, 2 Sm 3.42, 3 Gd 3.49
Gd1 0.3333 0.6667 0.4216  3 Mg 3.31, 2 Gd 3.42, 3 Sm 3.49
Mg1 0.6667 0.3333 0.6970  3 Gd 3.31, 3 Sm 3.34, 2 Mg 3.42


Entry 7:
DFT (PBE) results for a geometry-optimized SmGdMg2 structure.

Results
The calculation puts the uncorrected energy at -5.60 eV per atom. The formation energy comes out at -105 meV/atom. As for the total magnetization: 7.765 μB per formula unit. The calculated density comes out at 5.24 g cm⁻³. The relative energy among the computed polymorphs comes out at 0.1 kJ/mol of atoms.

Cell: 7.6706 7.6706 7.6706 Å, 90.00 90.00 90.00°
Closest atoms and distances in Å follow each position.
Space group Fm-3m (No. 225)
One atom of each set of equivalent atoms:
Sm1 0.0000 0.0000 0.0000  8 Mg 3.32
Gd1 0.0000 0.0000 0.5000  8 Mg 3.32
Mg1 0.2500 0.2500 0.2500  4 Gd 3.32, 4 Sm 3.32


Entry 8:
DFT (PBE) results for a geometry-optimized SmGdMgSn structure.

Results
The calculation puts the uncorrected energy at -6.53 eV per atom. The formation energy comes out at -430 meV/atom. As for the total magnetization: 7.462 μB per formula unit. The calculated density comes out at 6.86 g cm⁻³.

Cell: 7.5863 7.5863 7.5863 Å, 90.00 90.00 90.00°
Closest atoms and distances in Å follow each position.
Space group F-43m (No. 216)
One atom of each set of equivalent atoms:
Sm1 0.0000 0.0000 0.0000  4 Sn 3.28, 4 Mg 3.28
Gd1 0.0000 0.0000 0.5000  4 Mg 3.28, 4 Sn 3.28
Mg1 0.2500 0.2500 0.2500  4 Sm 3.28, 4 Gd 3.28
Sn1 0.2500 0.2500 0.7500  4 Gd 3.28, 4 Sm 3.28


What did the sixth record say?
DFT (PBE) results for a geometry-optimized SmGdMg structure.

Results
The calculation puts the uncorrected energy at -6.77 eV per atom. The formation energy comes out at 29 meV/atom. As for the total magnetization: 7.393 μB per formula unit. The calculated density comes out at 6.16 g cm⁻³. The relative energy among the computed polymorphs comes out at 8.5 kJ/mol of atoms.

Cell: 5.4952 5.4952 3.4211 Å, 90.00 90.00 120.00°
Closest atoms and distances in Å follow each position.
Space group P3m1 (No. 156)
One atom of each set of equivalent atoms:
Sm1 0.0000 0.0000 0.0000  3 Mg 3.34, 2 Sm 3.42, 3 Gd 3.49
Gd1 0.3333 0.6667 0.4216  3 Mg 3.31, 2 Gd 3.42, 3 Sm 3.49
Mg1 0.6667 0.3333 0.6970  3 Gd 3.31, 3 Sm 3.34, 2 Mg 3.42